No. 1
The following is a DFT calculation (PBE) of Li2HfPbO6 after structural relaxation.

extended XYZ file:
```
10
Lattice="-5.1681 1.5002 0.2788 -3.9222 -3.7402 0.1890 -2.9636 -0.5736 4.9079" Properties=species:S:1:pos:R:3 pbc="T T T"
Li -5.7645 -1.3095 2.1445
Li -3.0698 -0.8489 4.3685
Hf -9.0643 -2.1564 3.0934
Pb -3.0260 -0.7441 0.3874
O -4.6179 0.1912 1.4645
O -5.4048 -3.1002 1.3706
O -7.6840 -0.8833 2.0701
O -7.5101 -2.6961 4.3690
O -6.5044 0.2458 3.7174
O -4.5924 -2.0171 3.8094
```

As for the crystal system: triclinic. As for the space group: P1, No. 1. The value obtained for the energy relative to the elements, uncorrected is -1717 meV per atom.

***

No. 2
The following is a DFT calculation (PBE) of Li2Hf3PbO8 after structural relaxation.

extended XYZ file:
```
14
Lattice="6.4157 0.0001 -0.0003 3.2079 5.5561 -0.0002 3.2076 1.8520 5.9141" Properties=species:S:1:pos:R:3 pbc="T T T"
Li 3.2072 1.8518 4.5080
Li 6.4143 3.7033 2.3844
Hf 6.4156 1.8847 5.8457
Hf 4.8399 4.6139 5.8458
Hf 7.9915 4.6140 5.8447
Pb 9.6238 5.5564 2.1905
O 3.2083 1.8523 1.0144
O 9.6236 5.5563 4.8471
O 4.8952 2.8263 4.8361
O 7.9357 2.8263 4.8355
O 6.4155 5.4595 4.8356
O 6.4158 2.0826 1.1361
O 5.0115 4.5150 1.1361
O 7.8201 4.5150 1.1367
```

As for the crystal system: trigonal. As for the space group: R3m, No. 160. The value obtained for the energy relative to the elements, uncorrected is -2795 meV per atom.

***

No. 3
The following is a DFT calculation (PBE) of LiHf2PdO after structural relaxation.

extended XYZ file:
```
5
Lattice="-2.0341 2.4198 3.0971 0.4938 -3.3023 2.9045 3.3158 1.4292 1.0612" Properties=species:S:1:pos:R:3 pbc="T T T"
Hf 0.2469 -1.6512 1.4522
Hf -1.0171 1.2099 1.5486
O 0.0000 0.0000 0.0000
Pd 0.8878 0.2733 3.5314
Li 1.6579 0.7146 0.5306
```

As for the crystal system: tetragonal. As for the space group: P4/mmm, No. 123. The value obtained for the energy relative to the elements, uncorrected is -1312 meV per atom.

***

Which of these has the lowest energy relative to the elements, uncorrected? Li2Hf3PbO8